Record 1
# CoHg2Mo | Alexandria | GGA-PBE | optimized geometry
# **Energy above the lowest structure with this stoichiometry**: 401 meV/atom
# **Symmetry**: I-4m2, No. 119
# **Formation energy**: 2.9 eV/f.u.
data_CoHg2Mo
_chemical_formula_sum 'Co1 Hg2 Mo1'
_cell_length_a 4.9673
_cell_length_b 4.9673
_cell_length_c 4.9673
_cell_angle_alpha 130.86
_cell_angle_beta 130.86
_cell_angle_gamma 72.03
_symmetry_space_group_name_H-M 'P 1'
_symmetry_Int_Tables_number 1
_symmetry_space_group_name_Hall 'P 1'
loop_
_atom_site_label
_atom_site_fract_x
_atom_site_fract_y
_atom_site_fract_z
Hg1 0.0000 0.0000 0.0000
Mo1 0.5000 0.5000 0.0000
Co1 0.7500 0.2500 0.5000
Hg2 0.2500 0.7500 0.5000

Record 2
# CoHgMo | Alexandria | GGA-PBE | optimized geometry
# **Energy above the lowest structure with this stoichiometry**: 291 meV/atom
# **Symmetry**: F-43m, No. 216
# **Formation energy**: 1.9 eV/f.u.
data_CoHgMo
_chemical_formula_sum 'Co1 Hg1 Mo1'
_cell_length_a 4.1758
_cell_length_b 4.1758
_cell_length_c 4.1758
_cell_angle_alpha 60.00
_cell_angle_beta 60.00
_cell_angle_gamma 60.00
_symmetry_space_group_name_H-M 'P 1'
_symmetry_Int_Tables_number 1
_symmetry_space_group_name_Hall 'P 1'
loop_
_atom_site_label
_atom_site_fract_x
_atom_site_fract_y
_atom_site_fract_z
Hg1 0.0000 0.0000 0.0000
Co1 0.7500 0.7500 0.7500
Mo1 0.5000 0.5000 0.5000

Record 3
# CoHg2Mo | Alexandria | GGA-PBE | optimized geometry
# **Energy above the lowest structure with this stoichiometry**: 0 meV/atom
# **Symmetry**: Pm, No. 6
# **Formation energy**: 1.3 eV/f.u.
data_CoHg2Mo
_chemical_formula_sum 'Co1 Hg2 Mo1'
_cell_length_a 2.9236
_cell_length_b 2.9429
_cell_length_c 8.4643
_cell_angle_alpha 76.89
_cell_angle_beta 90.00
_cell_angle_gamma 90.00
_symmetry_space_group_name_H-M 'P 1'
_symmetry_Int_Tables_number 1
_symmetry_space_group_name_Hall 'P 1'
loop_
_atom_site_label
_atom_site_fract_x
_atom_site_fract_y
_atom_site_fract_z
Hg1 0.5000 0.0962 0.2797
Mo1 0.0000 0.4222 0.5489
Co1 0.5000 0.8137 0.7179
Hg2 0.0000 0.1678 0.9535

Record 4
# CoHgMo | Alexandria | GGA-PBE | optimized geometry
# **Energy above the lowest structure with this stoichiometry**: 121 meV/atom
# **Symmetry**: P3m1, No. 156
# **Formation energy**: 1.4 eV/f.u.
data_CoHgMo
_chemical_formula_sum 'Co1 Hg1 Mo1'
_cell_length_a 2.8557
_cell_length_b 2.8557
_cell_length_c 6.8117
_cell_angle_alpha 90.00
_cell_angle_beta 90.00
_cell_angle_gamma 120.00
_symmetry_space_group_name_H-M 'P 1'
_symmetry_Int_Tables_number 1
_symmetry_space_group_name_Hall 'P 1'
loop_
_atom_site_label
_atom_site_fract_x
_atom_site_fract_y
_atom_site_fract_z
Hg1 0.6667 0.3333 0.3197
Mo1 0.3333 0.6667 0.7002
Co1 0.0000 0.0000 0.9801

Record 5
# CoHg2Mo | Alexandria | GGA-PBE | optimized geometry
# **Energy above the lowest structure with this stoichiometry**: 256 meV/atom
# **Symmetry**: Imm2, No. 44
# **Formation energy**: 2.3 eV/f.u.
data_CoHg2Mo
_chemical_formula_sum 'Co1 Hg2 Mo1'
_cell_length_a 5.8534
_cell_length_b 5.8534
_cell_length_c 5.8534
_cell_angle_alpha 152.16
_cell_angle_beta 130.90
_cell_angle_gamma 57.38
_symmetry_space_group_name_H-M 'P 1'
_symmetry_Int_Tables_number 1
_symmetry_space_group_name_Hall 'P 1'
loop_
_atom_site_label
_atom_site_fract_x
_atom_site_fract_y
_atom_site_fract_z
Hg1 0.9731 0.9731 0.0000
Hg2 0.2617 0.7617 0.5000
Mo1 0.5366 0.5366 0.0000
Co1 0.7285 0.2285 0.5000

Record 6
# CoHg2Mo | Alexandria | GGA-PBE | optimized geometry
# **Energy above the lowest structure with this stoichiometry**: 466 meV/atom
# **Symmetry**: F-43m, No. 216
# **Formation energy**: 3.2 eV/f.u.
data_CoHg2Mo
_chemical_formula_sum 'Co1 Hg2 Mo1'
_cell_length_a 4.5937
_cell_length_b 4.5937
_cell_length_c 4.5937
_cell_angle_alpha 60.00
_cell_angle_beta 60.00
_cell_angle_gamma 60.00
_symmetry_space_group_name_H-M 'P 1'
_symmetry_Int_Tables_number 1
_symmetry_space_group_name_Hall 'P 1'
loop_
_atom_site_label
_atom_site_fract_x
_atom_site_fract_y
_atom_site_fract_z
Mo1 0.2500 0.2500 0.2500
Co1 0.5000 0.5000 0.5000
Hg1 0.0000 0.0000 0.0000
Hg2 0.7500 0.7500 0.7500

Record 7
# CoHgMo4 | Alexandria | GGA-PBE | optimized geometry
# **Symmetry**: F-43m, No. 216
# **Formation energy**: 3.8 eV/f.u.
data_CoHgMo4
_chemical_formula_sum 'Co1 Hg1 Mo4'
_cell_length_a 5.2178
_cell_length_b 5.2178
_cell_length_c 5.2178
_cell_angle_alpha 60.00
_cell_angle_beta 60.00
_cell_angle_gamma 60.00
_symmetry_space_group_name_H-M 'P 1'
_symmetry_Int_Tables_number 1
_symmetry_space_group_name_Hall 'P 1'
loop_
_atom_site_label
_atom_site_fract_x
_atom_site_fract_y
_atom_site_fract_z
Mo1 0.3751 0.8746 0.3751
Mo2 0.3751 0.3751 0.8746
Mo3 0.8746 0.3751 0.3751
Hg1 0.0000 0.0000 0.0000
Mo4 0.3751 0.3751 0.3751
Co1 0.7500 0.7500 0.7500

Record 8
# CoHg2Mo | Alexandria | GGA-PBE | optimized geometry
# **Energy above the lowest structure with this stoichiometry**: 345 meV/atom
# **Symmetry**: P4/mmm, No. 123
# **Formation energy**: 2.7 eV/f.u.
data_CoHg2Mo
_chemical_formula_sum 'Co1 Hg2 Mo1'
_cell_length_a 4.0783
_cell_length_b 4.0770
_cell_length_c 4.1676
_cell_angle_alpha 90.00
_cell_angle_beta 90.00
_cell_angle_gamma 90.00
_symmetry_space_group_name_H-M 'P 1'
_symmetry_Int_Tables_number 1
_symmetry_space_group_name_Hall 'P 1'
loop_
_atom_site_label
_atom_site_fract_x
_atom_site_fract_y
_atom_site_fract_z
Mo1 0.5000 0.0000 0.5000
Hg1 0.0000 0.0000 0.0000
Hg2 0.5000 0.5000 0.0000
Co1 0.0000 0.5000 0.5000

Record 9
# CoHg2Mo | Alexandria | GGA-PBE | optimized geometry
# **Energy above the lowest structure with this stoichiometry**: 117 meV/atom
# **Symmetry**: Cm, No. 8
# **Formation energy**: 1.8 eV/f.u.
data_CoHg2Mo
_chemical_formula_sum 'Co1 Hg2 Mo1'
_cell_length_a 2.9369
_cell_length_b 2.9369
_cell_length_c 10.0792
_cell_angle_alpha 73.61
_cell_angle_beta 73.61
_cell_angle_gamma 59.89
_symmetry_space_group_name_H-M 'P 1'
_symmetry_Int_Tables_number 1
_symmetry_space_group_name_Hall 'P 1'
loop_
_atom_site_label
_atom_site_fract_x
_atom_site_fract_y
_atom_site_fract_z
Mo1 0.5155 0.5155 0.5375
Hg1 0.9063 0.9063 0.9656
Co1 0.7254 0.7254 0.7270
Hg2 0.3529 0.3529 0.2698

Record 10
# CoHgMoOs2 | Alexandria | GGA-PBE | optimized geometry
# **Symmetry**: P4/mmm, No. 123
# **Formation energy**: 17.3 eV/f.u.
data_CoHgMoOs2
_chemical_formula_sum 'Co1 Hg1 Mo1 Os2'
_cell_length_a 4.8411
_cell_length_b 4.8449
_cell_length_c 4.8411
_cell_angle_alpha 90.00
_cell_angle_beta 90.00
_cell_angle_gamma 90.00
_symmetry_space_group_name_H-M 'P 1'
_symmetry_Int_Tables_number 1
_symmetry_space_group_name_Hall 'P 1'
loop_
_atom_site_label
_atom_site_fract_x
_atom_site_fract_y
_atom_site_fract_z
Os1 0.0000 0.0000 0.5000
Hg1 0.0000 0.0000 0.0000
Co1 0.5000 0.5000 0.5000
Mo1 0.0000 0.5000 0.0000
Os2 0.5000 0.0000 0.0000

Record 11
# CoHgMo2Pt | Alexandria | GGA-PBE | optimized geometry
# **Symmetry**: P4/mmm, No. 123
# **Formation energy**: 13.8 eV/f.u.
data_CoHgMo2Pt
_chemical_formula_sum 'Co1 Hg1 Mo2 Pt1'
_cell_length_a 4.9195
_cell_length_b 4.8664
_cell_length_c 4.9195
_cell_angle_alpha 90.00
_cell_angle_beta 90.00
_cell_angle_gamma 90.00
_symmetry_space_group_name_H-M 'P 1'
_symmetry_Int_Tables_number 1
_symmetry_space_group_name_Hall 'P 1'
loop_
_atom_site_label
_atom_site_fract_x
_atom_site_fract_y
_atom_site_fract_z
Co1 0.5000 0.5000 0.5000
Pt1 0.0000 0.5000 0.0000
Hg1 0.0000 0.0000 0.0000
Mo1 0.5000 0.0000 0.0000
Mo2 0.0000 0.0000 0.5000

Record 12
# Co2ReHgMo | Alexandria | GGA-PBE | optimized geometry
# **Symmetry**: P4/mmm, No. 123
# **Formation energy**: 12.6 eV/f.u.
data_Co2ReHgMo
_chemical_formula_sum 'Co2 Re1 Hg1 Mo1'
_cell_length_a 4.5027
_cell_length_b 4.9763
_cell_length_c 4.5027
_cell_angle_alpha 90.00
_cell_angle_beta 90.00
_cell_angle_gamma 90.00
_symmetry_space_group_name_H-M 'P 1'
_symmetry_Int_Tables_number 1
_symmetry_space_group_name_Hall 'P 1'
loop_
_atom_site_label
_atom_site_fract_x
_atom_site_fract_y
_atom_site_fract_z
Hg1 0.0000 0.0000 0.0000
Co1 0.0000 0.0000 0.5000
Mo1 0.5000 0.5000 0.5000
Co2 0.5000 0.0000 0.0000
Re1 0.0000 0.5000 0.0000

E? In order: -3.91; -5.44; -4.31; -5.61; -4.05; -3.84; -7.82; -3.97; -4.19; -4.69; -4.26; -5.03 eV per atom.